No. 1
La3SmHo2Er6: relaxed, PBE-GGA.

The structure in POSCAR format:
```
La3SmHo2Er6
1.0
3.106 -5.379 0.000
3.106 5.379 0.000
-2.067 0.000 11.610
La Sm Ho Er
3 1 2 6
Direct
0.000 0.000 0.000 La
0.333 0.667 0.000 La
0.667 0.333 0.000 La
0.500 0.500 0.500 Sm
0.167 0.833 0.500 Ho
0.833 0.167 0.500 Ho
0.085 0.419 0.255 Er
0.248 0.248 0.745 Er
0.419 0.085 0.255 Er
0.581 0.915 0.745 Er
0.752 0.752 0.255 Er
0.915 0.581 0.745 Er
```

SG ... C2/m
Total DFT energy (no corrections) ... -4.65 eV per atom
Energy relative to the elements ... 23 meV per atom
DOS at the Fermi energy ... 15.61 states/eV/cell

=====

No. 2
LaSm2Ho2Er: relaxed, PBE-GGA.

The structure in POSCAR format:
```
LaSm2Ho2Er
1.0
6.960 0.000 0.000
0.000 16.310 0.000
0.000 0.000 3.529
La Sm Ho Er
2 4 4 2
Direct
0.000 0.000 0.000 La
0.500 0.500 0.500 La
0.247 0.340 0.000 Sm
0.253 0.840 0.500 Sm
0.747 0.160 0.500 Sm
0.753 0.660 0.000 Sm
0.249 0.155 0.500 Ho
0.251 0.655 0.000 Ho
0.749 0.345 0.000 Ho
0.751 0.845 0.500 Ho
0.000 0.500 0.500 Er
0.500 0.000 0.000 Er
```

SG ... Pnnm
Total DFT energy (no corrections) ... -4.52 eV per atom
Energy relative to the elements ... 156 meV per atom
DOS at the Fermi energy ... 18.15 states/eV/cell